[1]
CoAsI2: relaxed, PBE.

Results
Crystal system: tetragonal
SG: I-42d, No. 122
Formation energy from raw total energies in meV/atom: 600.7

Lattice parameters (Å, degrees): 7.1679 7.1679 6.6695 57.50 57.50 90.00
Last column: nearest neighbours and their distance in Å.
Sites, in units of the cell vectors:
As (0.0000, 0.0000, 0.0000)  4 I 3.01
I (0.5741, 0.1250, 0.2500)  2 Co 2.53
I (0.3750, 0.4259, 0.7500)  2 Co 2.53
I (0.8750, 0.8241, 0.7500)  2 Co 2.53
I (0.1759, 0.6250, 0.2500)  2 Co 2.53
Co (0.5000, 0.5000, 0.0000)  4 I 2.53
As (0.7500, 0.2500, 0.5000)  4 I 3.01
Co (0.2500, 0.7500, 0.5000)  4 I 2.53

[2]
CaSe2Br: relaxed, PBE.

Results
Crystal system: tetragonal
SG: I-4m2, No. 119
Formation energy from raw total energies in meV/atom: -645.8

Lattice parameters (Å, degrees): 7.0474 7.0474 7.0474 146.42 146.42 48.23
Last column: nearest neighbours and their distance in Å.
Sites, in units of the cell vectors:
Se (0.2500, 0.7500, 0.5000)  4 Ca 2.88
Se (0.0000, 0.0000, 0.0000)  4 Br 2.88
Br (0.5000, 0.5000, 0.0000)  4 Se 2.88
Ca (0.7500, 0.2500, 0.5000)  4 Se 2.88

[3]
Sr2Zn3Cu12Ni: relaxed, PBE.

Results
Energy relative to the elements in eV per formula unit: 2.71
Crystal system: trigonal
SG: R-3m, No. 166

Lattice parameters (Å, degrees): 9.6716 9.6716 9.6716 37.78 37.78 37.78
Last column: nearest neighbours and their distance in Å.
Sites, in units of the cell vectors:
Ni (0.0000, 0.0000, 0.0000)  6 Cu 2.45
Cu (0.5809, 0.5809, 0.1901)  2 Zn 2.43, 4 Cu 2.45-2.48
Cu (0.8099, 0.4191, 0.4191)  2 Zn 2.43, 4 Cu 2.45-2.48
Cu (0.9416, 0.3382, 0.9416)  1 Ni 2.45, 4 Cu 2.48, 1 Zn 2.53
Cu (0.4191, 0.8099, 0.4191)  2 Zn 2.43, 4 Cu 2.45-2.48
Cu (0.0584, 0.6618, 0.0584)  1 Ni 2.45, 4 Cu 2.48, 1 Zn 2.53
Zn (0.0000, 0.0000, 0.5000)  6 Cu 2.43-2.53
Cu (0.3382, 0.9416, 0.9416)  1 Ni 2.45, 4 Cu 2.48, 1 Zn 2.53
Zn (0.0000, 0.5000, 0.0000)  6 Cu 2.43-2.53
Cu (0.6618, 0.0584, 0.0584)  1 Ni 2.45, 4 Cu 2.48, 1 Zn 2.53
Cu (0.0584, 0.0584, 0.6618)  1 Ni 2.45, 4 Cu 2.48, 1 Zn 2.53
Cu (0.9416, 0.9416, 0.3382)  1 Ni 2.45, 4 Cu 2.48, 1 Zn 2.53
Cu (0.5809, 0.1901, 0.5809)  2 Zn 2.43, 4 Cu 2.45-2.48
Cu (0.1901, 0.5809, 0.5809)  2 Zn 2.43, 4 Cu 2.45-2.48
Sr (0.3459, 0.3459, 0.3459)  6 Cu 3.15-3.19
Cu (0.4191, 0.4191, 0.8099)  2 Zn 2.43, 4 Cu 2.45-2.48
Sr (0.6541, 0.6541, 0.6541)  6 Cu 3.15-3.19
Zn (0.5000, 0.0000, 0.0000)  6 Cu 2.43-2.53

[4]
Pr4Nd6Tm: relaxed, PBE.

Results
Energy relative to the elements in eV per formula unit: 2.96
Crystal system: tetragonal
SG: I-42m, No. 121

Lattice parameters (Å, degrees): 9.7892 9.7892 9.7892 59.19 139.12 139.12
Last column: nearest neighbours and their distance in Å.
Sites, in units of the cell vectors:
Pr (0.0000, 0.6339, 0.0115)  5 Nd 3.45-3.78, 1 Tm 3.53, 1 Pr 3.65
Tm (0.0000, 0.0000, 0.0000)  8 Nd 3.42-3.76, 4 Pr 3.53
Pr (0.0000, 0.0115, 0.6339)  5 Nd 3.45-3.78, 1 Tm 3.53, 1 Pr 3.65
Nd (0.5000, 0.0000, 0.5000)  4 Nd 3.25, 2 Tm 3.42
Nd (0.0000, 0.7936, 0.4469)  3 Nd 3.25-3.35, 3 Pr 3.45-3.58
Pr (0.3776, 0.3661, 0.3661)  5 Nd 3.45-3.78, 1 Tm 3.53, 1 Pr 3.65
Nd (0.5000, 0.5000, 0.0000)  4 Nd 3.25, 2 Tm 3.42
Nd (0.3467, 0.5531, 0.5531)  3 Nd 3.25-3.35, 3 Pr 3.45-3.58
Nd (0.0000, 0.4469, 0.7936)  3 Nd 3.25-3.35, 3 Pr 3.45-3.58
Nd (0.6533, 0.2064, 0.2064)  3 Nd 3.25-3.35, 3 Pr 3.45-3.58
Pr (0.6224, 0.9885, 0.9885)  5 Nd 3.45-3.78, 1 Tm 3.53, 1 Pr 3.65

[5]
LiHoSnPd: relaxed, PBE.

Results
Energy relative to the elements in eV per formula unit: -3.21
Crystal system: cubic
SG: F-43m, No. 216

Lattice parameters (Å, degrees): 4.7499 4.7499 4.7499 60.00 60.00 60.00
Last column: nearest neighbours and their distance in Å.
Sites, in units of the cell vectors:
Pd (0.2500, 0.2500, 0.2500)  4 Sn 2.91, 4 Ho 2.91
Li (0.7500, 0.7500, 0.7500)  4 Ho 2.91, 4 Sn 2.91
Sn (0.0000, 0.0000, 0.0000)  4 Li 2.91, 4 Pd 2.91
Ho (0.5000, 0.5000, 0.5000)  4 Pd 2.91, 4 Li 2.91

[6]
LaTb5Er6: relaxed, PBE.

Results
Energy relative to the elements in eV per formula unit: 0.24
Crystal system: monoclinic
SG: C2/m, No. 12

Lattice parameters (Å, degrees): 6.1538 6.1509 11.7372 85.00 79.97 59.98
Last column: nearest neighbours and their distance in Å.
Sites, in units of the cell vectors:
Tb (0.5000, 0.0000, 0.5000)  6 Er 3.52, 6 Tb 3.55
Er (0.9162, 0.6655, 0.2523)  5 Tb 3.52-3.56, 6 Er 3.54-3.57, 1 La 3.57
Er (0.5817, 0.3345, 0.2523)  5 Tb 3.52-3.56, 6 Er 3.54-3.57, 1 La 3.57
Er (0.7492, 0.0000, 0.7477)  5 Tb 3.52-3.56, 6 Er 3.54-3.57, 1 La 3.57
Tb (0.6667, 0.6666, 0.0000)  3 La 3.55, 3 Tb 3.55, 6 Er 3.56
La (0.0000, 0.0000, 0.0000)  6 Tb 3.55, 6 Er 3.57
Tb (0.1669, 0.6661, 0.5000)  6 Er 3.52-3.53, 6 Tb 3.55-3.56
Er (0.4183, 0.6655, 0.7477)  5 Tb 3.52-3.56, 6 Er 3.54-3.57, 1 La 3.57
Tb (0.8331, 0.3339, 0.5000)  6 Er 3.52-3.53, 6 Tb 3.55-3.56
Tb (0.3333, 0.3334, 0.0000)  3 La 3.55, 3 Tb 3.55, 6 Er 3.56
Er (0.2508, 0.0000, 0.2523)  5 Tb 3.52-3.56, 6 Er 3.54-3.57, 1 La 3.57
Er (0.0838, 0.3345, 0.7477)  5 Tb 3.52-3.56, 6 Er 3.54-3.57, 1 La 3.57

[7]
SmScAlTl: relaxed, PBE.

Results
Energy relative to the elements in eV per formula unit: -1.22
Crystal system: cubic
SG: F-43m, No. 216

Lattice parameters (Å, degrees): 5.1649 5.1649 5.1649 60.00 60.00 60.00
Last column: nearest neighbours and their distance in Å.
Sites, in units of the cell vectors:
Tl (0.7500, 0.7500, 0.7500)  4 Sc 3.16, 4 Sm 3.16
Sc (0.0000, 0.0000, 0.0000)  4 Tl 3.16, 4 Al 3.16
Sm (0.5000, 0.5000, 0.5000)  4 Tl 3.16, 4 Al 3.16
Al (0.2500, 0.2500, 0.2500)  4 Sc 3.16, 4 Sm 3.16

[8]
Ac2AgSn: relaxed, PBE.

Results
Energy relative to the elements in eV per formula unit: -1.81
Crystal system: tetragonal
SG: P4/mmm, No. 123

Lattice parameters (Å, degrees): 4.2209 5.5964 5.5964 90.00 90.00 90.00
Last column: nearest neighbours and their distance in Å.
Sites, in units of the cell vectors:
Ag (0.5000, 0.5000, 0.5000)  8 Ac 3.50
Ac (0.0000, 0.5000, 0.0000)  4 Sn 3.50, 4 Ag 3.50
Ac (0.0000, 0.0000, 0.5000)  4 Sn 3.50, 4 Ag 3.50
Sn (0.5000, 0.0000, 0.0000)  8 Ac 3.50